Record 1
{"formula": "GaSnPt2W", "functional": "GGA-PBE", "state": "optimized geometry", "space_group": "P4/mmm", "formation_enthalpy_0k_ev_per_atom": 1.20, "lattice_angstrom": [[-2.359, 3.468, -1.880], [-3.090, -3.277, -2.167], [-2.736, 0.140, 3.690]], "species": ["W", "Pt", "Sn", "Pt", "Ga"], "fractional_positions": [[0.500, 0.500, 0.500], [0.500, 0.000, 0.000], [0.000, 0.500, 0.000], [0.000, 0.000, 0.500], [0.000, 0.000, 0.000]]}

***

Record 2
{"formula": "Mg2Zn3", "functional": "GGA-PBE", "state": "optimized geometry", "space_group": "R-3m", "formation_enthalpy_0k_ev_per_atom": 0.03, "e_above_lowest_polymorph_ev_per_atom": 0.0982, "lattice_angstrom": [[10.960, -1.558, -0.038], [10.960, 1.558, -0.038], [10.747, 0.000, 2.653]], "species": ["Zn", "Zn", "Mg", "Zn", "Mg"], "fractional_positions": [[0.804, 0.804, 0.804], [0.000, 0.000, 0.000], [0.598, 0.598, 0.598], [0.196, 0.196, 0.196], [0.402, 0.402, 0.402]]}

***

Record 3
{"formula": "Y4Ta5", "functional": "GGA-PBE", "state": "optimized geometry", "space_group": "I4/mmm", "formation_enthalpy_0k_ev_per_atom": 0.51, "e_above_lowest_polymorph_ev_per_atom": 0.0000, "lattice_angstrom": [[7.572, 1.846, 0.799], [-7.688, 1.445, 0.438], [-0.041, -4.335, 6.526]], "species": ["Y", "Ta", "Ta", "Ta", "Y", "Ta", "Y", "Ta", "Y"], "fractional_positions": [[0.000, 0.314, 0.314], [0.000, 0.000, 0.000], [0.328, 0.672, 0.000], [0.328, 0.328, 0.655], [0.000, 0.686, 0.686], [0.672, 0.328, 0.000], [0.686, 0.000, 0.686], [0.672, 0.672, 0.345], [0.314, 0.000, 0.314]]}

***

Record 4
{"formula": "MnNb4Rh5", "functional": "GGA-PBE", "state": "optimized geometry", "space_group": "P4/mmm", "formation_enthalpy_0k_ev_per_atom": -0.37, "lattice_angstrom": [[-0.663, -0.781, 2.699], [-0.847, -2.588, -0.957], [17.412, -6.579, 2.372]], "species": ["Nb", "Rh", "Rh", "Rh", "Rh", "Nb", "Nb", "Mn", "Rh", "Nb"], "fractional_positions": [[0.000, 0.000, 0.192], [0.500, 0.500, 0.706], [0.500, 0.500, 0.089], [0.500, 0.500, 0.294], [0.500, 0.500, 0.500], [0.000, 0.000, 0.603], [0.000, 0.000, 0.397], [0.000, 0.000, 0.000], [0.500, 0.500, 0.911], [0.000, 0.000, 0.808]]}

***

Record 5
{"formula": "Hg2MoAu", "functional": "GGA-PBE", "state": "optimized geometry", "space_group": "I-4m2", "formation_enthalpy_0k_ev_per_atom": 0.59, "e_above_lowest_polymorph_ev_per_atom": 0.2301, "lattice_angstrom": [[5.039, -0.062, 0.000], [1.146, 4.908, 0.000], [-3.093, -2.423, 3.157]], "species": ["Hg", "Hg", "Mo", "Au"], "fractional_positions": [[0.000, 0.000, 0.000], [0.250, 0.750, 0.500], [0.500, 0.500, 0.000], [0.750, 0.250, 0.500]]}

***

Record 6
{"formula": "LiLaTa", "functional": "GGA-PBE", "state": "optimized geometry", "space_group": "F-43m", "formation_enthalpy_0k_ev_per_atom": 1.42, "e_above_lowest_polymorph_ev_per_atom": 0.9514, "lattice_angstrom": [[-4.234, 1.160, 1.907], [-1.486, -2.146, 4.012], [-0.184, 2.459, 4.102]], "species": ["Ta", "Li", "La"], "fractional_positions": [[0.500, 0.500, 0.500], [0.000, 0.000, 0.000], [0.250, 0.250, 0.250]]}

***

Record 7
{"formula": "BaBOs3", "functional": "GGA-PBE", "state": "optimized geometry", "space_group": "Pm-3m", "formation_enthalpy_0k_ev_per_atom": 0.93, "e_above_lowest_polymorph_ev_per_atom": 0.0000, "lattice_angstrom": [[4.375, 0.000, 0.000], [0.000, 4.375, 0.000], [0.000, 0.000, 4.375]], "species": ["Ba", "Os", "Os", "Os", "B"], "fractional_positions": [[0.500, 0.500, 0.500], [0.500, 0.000, 0.000], [0.000, 0.000, 0.500], [0.000, 0.500, 0.000], [0.000, 0.000, 0.000]]}

***

Record 8
{"formula": "Cs4Dy3PuTe8", "functional": "GGA-PBE", "state": "optimized geometry", "e_tot_ev_per_atom": -4.851, "space_group": "R-3m", "lattice_angstrom": [[9.162, 0.000, 0.000], [0.000, 10.328, 0.825], [-4.581, -4.583, 6.478]], "species": ["Te", "Cs", "Dy", "Te", "Te", "Cs", "Dy", "Te", "Cs", "Cs", "Te", "Dy", "Te", "Te", "Te", "Pu"], "fractional_positions": [[0.768, 0.311, 0.536], [0.500, 0.000, 0.500], [0.000, 0.500, 0.500], [0.232, 0.689, 0.464], [0.232, 0.689, 0.957], [0.500, 0.000, 0.000], [0.500, 0.500, 0.000], [0.768, 0.311, 0.043], [0.000, 0.000, 0.000], [0.000, 0.000, 0.500], [0.730, 0.689, 0.460], [0.500, 0.500, 0.500], [0.725, 0.689, 0.957], [0.270, 0.311, 0.540], [0.275, 0.311, 0.043], [0.000, 0.500, 0.000]]}